(1)
# RbFe3As, optimized geometry, DFT PBE
data_RbFe3As
_chemical_formula_sum 'Rb1 Fe3 As1'
_cell_length_a 4.718
_cell_length_b 4.718
_cell_length_c 4.718
_cell_angle_alpha 90.00
_cell_angle_beta 90.00
_cell_angle_gamma 90.00
_space_group_name_H-M_alt 'P 1'
_space_group_IT_number 1
_space_group_name_Hall 'P 1'
loop_
_atom_site_label
_atom_site_type_symbol
_atom_site_fract_x
_atom_site_fract_y
_atom_site_fract_z
Rb1 Rb 0.000 0.000 0.000
Fe1 Fe 0.000 0.500 0.500
Fe2 Fe 0.500 0.000 0.500
Fe3 Fe 0.500 0.500 0.000
As1 As 0.500 0.500 0.500
# Space group ... No. 221
# ΔE_f ... 0.850 eV/atom

(2)
# RbFeAsSe, optimized geometry, DFT PBE
data_RbFeAsSe
_chemical_formula_sum 'Rb1 Fe1 As1 Se1'
_cell_length_a 4.686
_cell_length_b 4.880
_cell_length_c 5.525
_cell_angle_alpha 90.01
_cell_angle_beta 90.00
_cell_angle_gamma 106.33
_space_group_name_H-M_alt 'P 1'
_space_group_IT_number 1
_space_group_name_Hall 'P 1'
loop_
_atom_site_label
_atom_site_type_symbol
_atom_site_fract_x
_atom_site_fract_y
_atom_site_fract_z
Rb1 Rb 0.000 0.000 0.000
Fe1 Fe 0.548 0.474 0.499
As1 As 0.052 0.510 0.501
Se1 Se 0.490 0.966 0.500
# Space group ... No. 1
# Energy relative to the elements, uncorrected ... -0.151 eV/atom

(3)
# RbFeAsSe, optimized geometry, DFT PBE
data_RbFeAsSe
_chemical_formula_sum 'Rb2 Fe2 As2 Se2'
_cell_length_a 3.105
_cell_length_b 3.680
_cell_length_c 16.739
_cell_angle_alpha 90.00
_cell_angle_beta 90.00
_cell_angle_gamma 90.00
_space_group_name_H-M_alt 'P 1'
_space_group_IT_number 1
_space_group_name_Hall 'P 1'
loop_
_atom_site_label
_atom_site_type_symbol
_atom_site_fract_x
_atom_site_fract_y
_atom_site_fract_z
Rb1 Rb 0.000 0.000 0.000
Rb2 Rb 0.500 0.500 0.500
Fe1 Fe 0.000 0.000 0.781
Fe2 Fe 0.500 0.500 0.281
As1 As 0.000 0.000 0.334
As2 As 0.500 0.500 0.834
Se1 Se 0.000 0.000 0.642
Se2 Se 0.500 0.500 0.142
# Space group ... No. 44
# Energy relative to the elements, uncorrected ... -0.103 eV/atom

(4)
# RbFeAsSe, optimized geometry, DFT PBE
data_RbFeAsSe
_chemical_formula_sum 'Rb1 Fe1 As1 Se1'
_cell_length_a 3.860
_cell_length_b 3.860
_cell_length_c 7.395
_cell_angle_alpha 90.00
_cell_angle_beta 90.00
_cell_angle_gamma 120.00
_space_group_name_H-M_alt 'P 1'
_space_group_IT_number 1
_space_group_name_Hall 'P 1'
loop_
_atom_site_label
_atom_site_type_symbol
_atom_site_fract_x
_atom_site_fract_y
_atom_site_fract_z
Rb1 Rb 0.000 0.000 0.000
Fe1 Fe 0.000 0.000 0.517
As1 As 0.667 0.333 0.612
Se1 Se 0.333 0.667 0.340
# Space group ... No. 156
# Energy relative to the elements, uncorrected ... -0.214 eV/atom

(5)
# RbFeAsSe, optimized geometry, DFT PBE
data_RbFeAsSe
_chemical_formula_sum 'Rb3 Fe3 As3 Se3'
_cell_length_a 3.879
_cell_length_b 3.879
_cell_length_c 21.419
_cell_angle_alpha 90.00
_cell_angle_beta 90.00
_cell_angle_gamma 120.00
_space_group_name_H-M_alt 'P 1'
_space_group_IT_number 1
_space_group_name_Hall 'P 1'
loop_
_atom_site_label
_atom_site_type_symbol
_atom_site_fract_x
_atom_site_fract_y
_atom_site_fract_z
Rb1 Rb 0.000 0.000 0.000
Rb2 Rb 0.333 0.667 0.667
Rb3 Rb 0.667 0.333 0.333
Fe1 Fe 0.000 0.000 0.490
Fe2 Fe 0.333 0.667 0.157
Fe3 Fe 0.667 0.333 0.824
As1 As 0.000 0.000 0.792
As2 As 0.333 0.667 0.459
As3 As 0.667 0.333 0.126
Se1 Se 0.000 0.000 0.217
Se2 Se 0.333 0.667 0.884
Se3 Se 0.667 0.333 0.551
# Space group ... No. 160
# Energy relative to the elements, uncorrected ... -0.244 eV/atom

(6)
# RbFeAsSe, optimized geometry, DFT PBE
data_RbFeAsSe
_chemical_formula_sum 'Rb2 Fe2 As2 Se2'
_cell_length_a 5.561
_cell_length_b 13.446
_cell_length_c 3.890
_cell_angle_alpha 90.00
_cell_angle_beta 134.19
_cell_angle_gamma 90.00
_space_group_name_H-M_alt 'P 1'
_space_group_IT_number 1
_space_group_name_Hall 'P 1'
loop_
_atom_site_label
_atom_site_type_symbol
_atom_site_fract_x
_atom_site_fract_y
_atom_site_fract_z
Rb1 Rb 0.000 0.000 0.000
Rb2 Rb 0.500 0.500 0.000
Fe1 Fe 0.000 0.756 0.500
Fe2 Fe 0.500 0.256 0.500
As1 As 0.000 0.673 0.000
As2 As 0.500 0.173 0.000
Se1 Se 0.000 0.337 0.000
Se2 Se 0.500 0.837 0.000
# Space group ... No. 5
# Energy relative to the elements, uncorrected ... -0.256 eV/atom

Number 1: ρ 5.18 g/cm³, M_tot 1.600 μB/atom. Number 2: ρ 4.04 g/cm³, M_tot 0.678 μB/atom. Number 3: ρ 5.13 g/cm³, M_tot 0.794 μB/atom. Number 4: ρ 5.14 g/cm³, M_tot 0.000 μB/atom. Number 5: ρ 5.27 g/cm³, M_tot 0.000 μB/atom. Number 6: ρ 4.70 g/cm³, M_tot 0.000 μB/atom.